[1]
# Sm5MgCo2 | Alexandria via LeMat-Bulk | PBE | optimized geometry
data_Sm5MgCo2
_cell_length_a 4.024
_cell_length_b 7.274
_cell_length_c 8.526
_cell_angle_alpha 115.25
_cell_angle_beta 103.65
_cell_angle_gamma 90.00
_symmetry_space_group_name_H-M 'P 1'
_symmetry_Int_Tables_number 1
_symmetry_space_group_name_Hall 'P 1'
loop_
_atom_site_label
_atom_site_type_symbol
_atom_site_fract_x
_atom_site_fract_y
_atom_site_fract_z
Sm1 Sm 0.653 0.906 0.307
Sm2 Sm 0.653 0.401 0.307
Sm3 Sm 0.000 0.500 0.000
Sm4 Sm 0.347 0.094 0.693
Sm5 Sm 0.347 0.599 0.693
Mg1 Mg 0.000 0.000 0.000
Co1 Co 0.192 0.692 0.383
Co2 Co 0.808 0.308 0.617
# Density ... 6813 kg/m³
# Energy ... -4.9602 eV per atom
# E_form ... -27 kJ/mol of formula units

[2]
# Sm4MgCo2 | Alexandria via LeMat-Bulk | PBE | optimized geometry
data_Sm4MgCo2
_cell_length_a 6.963
_cell_length_b 7.263
_cell_length_c 9.550
_cell_angle_alpha 128.91
_cell_angle_beta 102.21
_cell_angle_gamma 86.57
_symmetry_space_group_name_H-M 'P 1'
_symmetry_Int_Tables_number 1
_symmetry_space_group_name_Hall 'P 1'
loop_
_atom_site_label
_atom_site_type_symbol
_atom_site_fract_x
_atom_site_fract_y
_atom_site_fract_z
Mg1 Mg 0.137 0.639 0.524
Mg2 Mg 0.156 0.134 0.964
Sm1 Sm 0.814 0.456 0.149
Sm2 Sm 0.763 0.726 0.740
Sm3 Sm 0.347 0.664 0.252
Sm4 Sm 0.318 0.664 0.872
Sm5 Sm 0.475 0.237 0.342
Sm6 Sm 0.877 0.124 0.608
Sm7 Sm 0.951 0.014 0.207
Sm8 Sm 0.435 0.148 0.761
Co1 Co 0.060 0.490 0.949
Co2 Co 0.716 0.555 0.910
Co3 Co 0.573 0.059 0.020
Co4 Co 0.629 0.840 0.203
# Density ... 6755 kg/m³
# Energy ... -4.9631 eV per atom
# E_form ... -6 kJ/mol of formula units

[3]
# SmMgCo10 | Alexandria via LeMat-Bulk | PBE | optimized geometry
data_SmMgCo10
_cell_length_a 3.998
_cell_length_b 4.801
_cell_length_c 8.511
_cell_angle_alpha 90.00
_cell_angle_beta 90.00
_cell_angle_gamma 90.00
_symmetry_space_group_name_H-M 'P 1'
_symmetry_Int_Tables_number 1
_symmetry_space_group_name_Hall 'P 1'
loop_
_atom_site_label
_atom_site_type_symbol
_atom_site_fract_x
_atom_site_fract_y
_atom_site_fract_z
Co1 Co 0.000 0.000 0.306
Co2 Co 0.000 0.500 0.155
Co3 Co 0.000 0.500 0.845
Co4 Co 0.500 0.000 0.500
Co5 Co 0.000 0.000 0.694
Co6 Co 0.500 0.752 0.246
Co7 Co 0.500 0.248 0.754
Co8 Co 0.500 0.752 0.754
Co9 Co 0.500 0.500 0.000
Co10 Co 0.500 0.248 0.246
Mg1 Mg 0.000 0.000 0.000
Sm1 Sm 0.000 0.500 0.500
# Density ... 7766 kg/m³
# Energy ... -6.4200 eV per atom
# E_form ... 32 kJ/mol of formula units

[4]
# Sm8MgCo2 | Alexandria via LeMat-Bulk | PBE | optimized geometry
data_Sm8MgCo2
_cell_length_a 5.514
_cell_length_b 8.083
_cell_length_c 8.083
_cell_angle_alpha 115.82
_cell_angle_beta 96.43
_cell_angle_gamma 96.43
_symmetry_space_group_name_H-M 'P 1'
_symmetry_Int_Tables_number 1
_symmetry_space_group_name_Hall 'P 1'
loop_
_atom_site_label
_atom_site_type_symbol
_atom_site_fract_x
_atom_site_fract_y
_atom_site_fract_z
Sm1 Sm 0.794 0.603 0.603
Sm2 Sm 0.204 0.402 0.402
Sm3 Sm 0.000 0.257 0.749
Sm4 Sm 0.436 0.669 0.929
Sm5 Sm 0.564 0.337 0.078
Sm6 Sm 0.564 0.078 0.337
Sm7 Sm 0.436 0.929 0.669
Sm8 Sm 0.000 0.749 0.257
Mg1 Mg 0.000 0.002 0.002
Co1 Co 0.500 0.302 0.705
Co2 Co 0.500 0.705 0.302
# Density ... 7047 kg/m³
# Energy ... -4.8525 eV per atom
# E_form ... 18 kJ/mol of formula units

[5]
# Sm6MgCo2 | Alexandria via LeMat-Bulk | PBE | optimized geometry
data_Sm6MgCo2
_cell_length_a 5.080
_cell_length_b 5.769
_cell_length_c 9.245
_cell_angle_alpha 78.47
_cell_angle_beta 90.00
_cell_angle_gamma 116.12
_symmetry_space_group_name_H-M 'P 1'
_symmetry_Int_Tables_number 1
_symmetry_space_group_name_Hall 'P 1'
loop_
_atom_site_label
_atom_site_type_symbol
_atom_site_fract_x
_atom_site_fract_y
_atom_site_fract_z
Sm1 Sm 0.663 0.326 0.629
Sm2 Sm 0.710 0.419 0.162
Sm3 Sm 0.337 0.674 0.371
Sm4 Sm 0.290 0.581 0.838
Sm5 Sm 0.966 0.933 0.850
Sm6 Sm 0.034 0.067 0.150
Mg1 Mg 0.000 0.000 0.500
Co1 Co 0.610 0.221 0.916
Co2 Co 0.390 0.779 0.084
# Density ... 7313 kg/m³
# Energy ... -4.8919 eV per atom
# E_form ... 9 kJ/mol of formula units

[6]
# Sm2MgCo2 | Alexandria via LeMat-Bulk | PBE | optimized geometry
data_Sm2MgCo2
_cell_length_a 4.049
_cell_length_b 3.911
_cell_length_c 7.310
_cell_angle_alpha 105.52
_cell_angle_beta 90.00
_cell_angle_gamma 90.00
_symmetry_space_group_name_H-M 'P 1'
_symmetry_Int_Tables_number 1
_symmetry_space_group_name_Hall 'P 1'
loop_
_atom_site_label
_atom_site_type_symbol
_atom_site_fract_x
_atom_site_fract_y
_atom_site_fract_z
Mg1 Mg 0.000 0.000 0.000
Sm1 Sm 0.500 0.639 0.278
Sm2 Sm 0.500 0.361 0.722
Co1 Co 0.000 0.211 0.421
Co2 Co 0.000 0.789 0.579
# Density ... 6593 kg/m³
# Energy ... -5.1808 eV per atom
# E_form ... -64 kJ/mol of formula units

[7]
# Sm4Mg3Co2 | Alexandria via LeMat-Bulk | PBE | optimized geometry
data_Sm4Mg3Co2
_cell_length_a 3.765
_cell_length_b 7.609
_cell_length_c 8.310
_cell_angle_alpha 70.23
_cell_angle_beta 90.00
_cell_angle_gamma 90.00
_symmetry_space_group_name_H-M 'P 1'
_symmetry_Int_Tables_number 1
_symmetry_space_group_name_Hall 'P 1'
loop_
_atom_site_label
_atom_site_type_symbol
_atom_site_fract_x
_atom_site_fract_y
_atom_site_fract_z
Sm1 Sm 0.500 0.903 0.726
Sm2 Sm 0.500 0.097 0.274
Sm3 Sm 0.500 0.603 0.178
Sm4 Sm 0.500 0.397 0.822
Mg1 Mg 0.000 0.000 0.000
Mg2 Mg 0.000 0.294 0.497
Mg3 Mg 0.000 0.706 0.503
Co1 Co 0.000 0.649 0.893
Co2 Co 0.000 0.351 0.107
# Density ... 5872 kg/m³
# Energy ... -4.3381 eV per atom
# E_form ... -113 kJ/mol of formula units

[8]
# Sm2MgCo2 | Alexandria via LeMat-Bulk | PBE | optimized geometry
data_Sm2MgCo2
_cell_length_a 5.526
_cell_length_b 5.713
_cell_length_c 7.788
_cell_angle_alpha 103.17
_cell_angle_beta 90.00
_cell_angle_gamma 118.92
_symmetry_space_group_name_H-M 'P 1'
_symmetry_Int_Tables_number 1
_symmetry_space_group_name_Hall 'P 1'
loop_
_atom_site_label
_atom_site_type_symbol
_atom_site_fract_x
_atom_site_fract_y
_atom_site_fract_z
Sm1 Sm 0.206 0.706 0.354
Sm2 Sm 0.499 0.294 0.146
Sm3 Sm 0.794 0.294 0.646
Sm4 Sm 0.501 0.706 0.854
Co1 Co 0.004 0.695 0.992
Co2 Co 0.690 0.695 0.492
Co3 Co 0.310 0.305 0.508
Co4 Co 0.996 0.305 0.008
Mg1 Mg 0.873 0.000 0.250
Mg2 Mg 0.127 0.000 0.750
# Density ... 7078 kg/m³
# Energy ... -5.1605 eV per atom
# E_form ... -54 kJ/mol of formula units

[9]
# Sm2MgCo | Alexandria via LeMat-Bulk | PBE | optimized geometry
data_Sm2MgCo
_cell_length_a 3.302
_cell_length_b 3.302
_cell_length_c 10.955
_cell_angle_alpha 81.33
_cell_angle_beta 81.33
_cell_angle_gamma 60.00
_symmetry_space_group_name_H-M 'P 1'
_symmetry_Int_Tables_number 1
_symmetry_space_group_name_Hall 'P 1'
loop_
_atom_site_label
_atom_site_type_symbol
_atom_site_fract_x
_atom_site_fract_y
_atom_site_fract_z
Mg1 Mg 0.500 0.500 0.500
Sm1 Sm 0.923 0.923 0.231
Sm2 Sm 0.077 0.077 0.769
Co1 Co 0.000 0.000 0.000
# Density ... 6261 kg/m³
# Energy ... -4.0041 eV per atom
# E_form ... 205 kJ/mol of formula units

[10]
# Sm3Mg3Co2 | Alexandria via LeMat-Bulk | PBE | optimized geometry
data_Sm3Mg3Co2
_cell_length_a 4.011
_cell_length_b 5.299
_cell_length_c 9.346
_cell_angle_alpha 98.69
_cell_angle_beta 102.39
_cell_angle_gamma 90.00
_symmetry_space_group_name_H-M 'P 1'
_symmetry_Int_Tables_number 1
_symmetry_space_group_name_Hall 'P 1'
loop_
_atom_site_label
_atom_site_type_symbol
_atom_site_fract_x
_atom_site_fract_y
_atom_site_fract_z
Co1 Co 0.764 0.900 0.528
Co2 Co 0.236 0.100 0.472
Mg1 Mg 0.361 0.924 0.722
Mg2 Mg 0.639 0.076 0.278
Mg3 Mg 0.500 0.500 0.000
Sm1 Sm 0.000 0.000 0.000
Sm2 Sm 0.831 0.416 0.663
Sm3 Sm 0.169 0.584 0.337
# Density ... 5560 kg/m³
# Energy ... -4.2032 eV per atom
# E_form ... -46 kJ/mol of formula units

[11]
# Sm2MgCo | Alexandria via LeMat-Bulk | PBE | optimized geometry
data_Sm2MgCo
_cell_length_a 3.878
_cell_length_b 3.878
_cell_length_c 8.810
_cell_angle_alpha 77.28
_cell_angle_beta 77.28
_cell_angle_gamma 60.00
_symmetry_space_group_name_H-M 'P 1'
_symmetry_Int_Tables_number 1
_symmetry_space_group_name_Hall 'P 1'
loop_
_atom_site_label
_atom_site_type_symbol
_atom_site_fract_x
_atom_site_fract_y
_atom_site_fract_z
Sm1 Sm 0.274 0.274 0.178
Sm2 Sm 0.059 0.059 0.822
Co1 Co 0.666 0.666 0.002
Mg1 Mg 0.500 0.500 0.499
# Density ... 5745 kg/m³
# Energy ... -4.5149 eV per atom
# E_form ... 8 kJ/mol of formula units

[12]
# Sm2MgCo | Alexandria via LeMat-Bulk | PBE | optimized geometry
data_Sm2MgCo
_cell_length_a 3.473
_cell_length_b 3.473
_cell_length_c 8.205
_cell_angle_alpha 90.00
_cell_angle_beta 90.00
_cell_angle_gamma 90.00
_symmetry_space_group_name_H-M 'P 1'
_symmetry_Int_Tables_number 1
_symmetry_space_group_name_Hall 'P 1'
loop_
_atom_site_label
_atom_site_type_symbol
_atom_site_fract_x
_atom_site_fract_y
_atom_site_fract_z
Mg1 Mg 0.500 0.500 0.500
Co1 Co 0.500 0.500 0.000
Sm1 Sm 0.000 0.000 0.203
Sm2 Sm 0.000 0.000 0.797
# Density ... 6442 kg/m³
# Energy ... -4.5986 eV per atom
# E_form ... -25 kJ/mol of formula units